Entry from Alexandria: a geometry-optimized BaMg2Sc structure (PBE).

## Properties
- Space-group type: No. 65
- DOS(E_F): 0.91 states/eV per atom
- Energy relative to the elements: 0.145 eV/atom
- Relative energy among the computed polymorphs: 11.6 kJ/mol of atoms

a b c (Å): 8.8863 5.7041 3.7505
angles (deg): 89.98 65.06 129.82
Sites, in units of the cell vectors:
Ba 0.5000 0.5000 0.0000
Mg 0.0000 0.0000 0.0000
Sc 0.0000 0.5000 0.5000
Mg 0.5000 0.0000 0.5000

=====

Entry from Alexandria: a geometry-optimized BaMg2Sc structure (PBE).

## Properties
- Space-group type: No. 216
- DOS(E_F): 1.10 states/eV per atom
- Energy relative to the elements: 0.215 eV/atom
- Relative energy among the computed polymorphs: 18.4 kJ/mol of atoms

a b c (Å): 5.5406 5.5406 5.5406
angles (deg): 60.00 60.00 60.00
Sites, in units of the cell vectors:
Mg 0.2500 0.2500 0.2500
Sc 0.7500 0.7500 0.7500
Ba 0.5000 0.5000 0.5000
Mg 0.0000 0.0000 0.0000

=====

Entry from Alexandria: a geometry-optimized BaMg2Sc structure (PBE).

## Properties
- Space-group type: No. 99
- DOS(E_F): 1.24 states/eV per atom
- Energy relative to the elements: 0.139 eV/atom
- Relative energy among the computed polymorphs: 11.0 kJ/mol of atoms

a b c (Å): 3.6298 3.6298 9.4112
angles (deg): 90.00 90.00 90.00
Sites, in units of the cell vectors:
Mg 0.0000 0.0000 0.0582
Sc 0.0000 0.0000 0.4386
Ba 0.5000 0.5000 0.7557
Mg 0.5000 0.5000 0.2475

=====

Entry from Alexandria: a geometry-optimized BaMgSc structure (PBE).

## Properties
- Space-group type: No. 216
- DOS(E_F): 2.05 states/eV per atom
- Energy relative to the elements: 0.524 eV/atom
- Relative energy among the computed polymorphs: 43.9 kJ/mol of atoms

a b c (Å): 5.5412 5.5412 5.5412
angles (deg): 60.00 60.00 60.00
Sites, in units of the cell vectors:
Sc 0.0000 0.0000 0.0000
Mg 0.7500 0.7500 0.7500
Ba 0.5000 0.5000 0.5000

=====

Entry from Alexandria: a geometry-optimized BaMgSc structure (PBE).

## Properties
- Space-group type: No. 107
- DOS(E_F): 1.30 states/eV per atom
- Energy relative to the elements: 0.163 eV/atom
- Relative energy among the computed polymorphs: 9.1 kJ/mol of atoms

a b c (Å): 7.2160 7.2160 7.2160
angles (deg): 148.54 148.53 45.10
Sites, in units of the cell vectors:
Mg 0.6952 0.6952 0.0000
Ba 0.0054 0.0054 0.0000
Sc 0.2994 0.2994 0.0000

=====

Entry from Alexandria: a geometry-optimized BaMg3Sc structure (PBE).

## Properties
- Space-group type: No. 221
- DOS(E_F): 1.10 states/eV per atom
- Energy relative to the elements: 1.213 eV/atom
- Relative energy among the computed polymorphs: 76.3 kJ/mol of atoms

a b c (Å): 5.8508 5.8508 5.8508
angles (deg): 90.00 90.00 90.00
Sites, in units of the cell vectors:
Ba 0.0000 0.0000 0.0000
Mg 0.0000 0.5000 0.0000
Sc 0.5000 0.5000 0.5000
Mg 0.0000 0.0000 0.5000
Mg 0.5000 0.0000 0.0000

=====

Entry from Alexandria: a geometry-optimized BaMg2Sc2 structure (PBE).

## Properties
- Space-group type: No. 127
- DOS(E_F): 1.46 states/eV per atom
- Energy relative to the elements: 0.100 eV/atom
- Relative energy among the computed polymorphs: 0.0 kJ/mol of atoms

a b c (Å): 9.1746 9.1746 3.4373
angles (deg): 90.00 90.00 90.00
Sites, in units of the cell vectors:
Mg 0.6689 0.8311 0.5000
Sc 0.3796 0.8796 0.0000
Mg 0.8311 0.3311 0.5000
Sc 0.6204 0.1204 0.0000
Sc 0.1204 0.3796 0.0000
Sc 0.8796 0.6204 0.0000
Mg 0.1689 0.6689 0.5000
Mg 0.3311 0.1689 0.5000
Ba 0.5000 0.5000 0.0000
Ba 0.0000 0.0000 0.0000

=====

Entry from Alexandria: a geometry-optimized BaMg2Sc structure (PBE).

## Properties
- Space-group type: No. 160
- DOS(E_F): 1.45 states/eV per atom
- Energy relative to the elements: 0.258 eV/atom
- Relative energy among the computed polymorphs: 22.5 kJ/mol of atoms

a b c (Å): 11.3637 11.3637 11.3637
angles (deg): 17.96 17.96 17.96
Sites, in units of the cell vectors:
Mg 0.2503 0.2503 0.2503
Sc 0.5111 0.5111 0.5111
Ba 0.7487 0.7487 0.7487
Mg 0.9900 0.9900 0.9900